Entry 1:
# SrLi2Sm2Si2

A relaxed structure of SrLi2Sm2Si2 (PBE, the Alexandria database).

The structure in extended XYZ format:
```
7
Lattice="2.316 1.337 9.319 -2.316 1.337 9.319 0.000 -2.674 9.319" Properties=species:S:1:pos:R:3 pbc="T T T"
Sr 0.000 0.000 0.000
Li 0.000 0.000 11.501
Li 0.000 0.000 16.456
Sm 0.000 0.000 3.620
Sm 0.000 0.000 24.337
Si 0.000 0.000 7.031
Si 0.000 0.000 20.926
```

Energy   -4.0559 eV/atom
E_form (uncorrected)   -371 meV/atom
DOS(E_F)   0.417 states/eV per atom
Calculated volume   24.7 A^3/atom



Entry 2:
# SrLiSmSi

A relaxed structure of SrLiSmSi (PBE, the Alexandria database).

The structure in extended XYZ format:
```
4
Lattice="0.000 3.721 3.721 3.721 0.000 3.721 3.721 3.721 0.000" Properties=species:S:1:pos:R:3 pbc="T T T"
Sr 0.000 0.000 0.000
Li 1.861 1.861 1.861
Sm 3.721 3.721 3.721
Si 5.582 5.582 5.582
```

Energy   -3.6375 eV/atom
E_form (uncorrected)   -203 meV/atom
DOS(E_F)   0.551 states/eV per atom
Calculated volume   25.8 A^3/atom



Q: E_form (uncorrected) of number 1 (SrLi2Sm2Si2)?
A: -371 meV/atom



Q: Which of these has the lowest calculated volume?
A: SrLi2Sm2Si2